VASP calculation (GGA-PBEsol) on Mn2CoIr after structural relaxation.

## Properties
Calculated formation energy, meV per atom: -95
SG: Pmm2

Unit cell a=2.556 b=3.976 c=4.414 alpha=90.00 beta=90.00 gamma=90.00
Atoms (fractional coordinates):
Mn 0.000 0.000 0.000
Mn 0.000 0.500 0.315
Co 0.500 0.500 0.851
Ir 0.500 0.000 0.504